1.
First-principles (PBE+U) data for a relaxed KCrAg2F8 crystal, as listed in Alexandria.

Results
SG   P-3m1 (164)

Cell lengths 5.4704, 5.4704, 7.5244 Å; angles 90.00, 90.00, 120.00 degrees
With the nearest neighbours (Å) after each atom.
Atoms (fractional coordinates):
K (0.0000, 0.0000, 0.5000)  12 F 3.10-3.22
Cr (0.0000, 0.0000, 0.0000)  6 F 1.86
Ag (0.6667, 0.3333, 0.1412)  1 F 2.06
Ag (0.3333, 0.6667, 0.8588)  1 F 2.06
F (0.8389, 0.6778, 0.8579)  1 Cr 1.86
F (0.3222, 0.1611, 0.8579)  1 Cr 1.86
F (0.8389, 0.1611, 0.8579)  1 Cr 1.86
F (0.1611, 0.3222, 0.1421)  1 Cr 1.86
F (0.6778, 0.8389, 0.1421)  1 Cr 1.86
F (0.1611, 0.8389, 0.1421)  1 Cr 1.86
F (0.6667, 0.3333, 0.4145)  1 Ag 2.06
F (0.3333, 0.6667, 0.5855)  1 Ag 2.06

2.
First-principles (PBE+U) data for a relaxed Li2CrAgF8 crystal, as listed in Alexandria.

Results
SG   P2/m (10)

Cell lengths 4.6848, 4.6746, 6.7013 Å; angles 89.99, 89.98, 90.37 degrees
With the nearest neighbours (Å) after each atom.
Atoms (fractional coordinates):
Li (0.4999, 0.4999, 0.7400)  4 F 2.03-2.05
Li (0.5001, 0.5001, 0.2600)  4 F 2.03-2.05
Cr (0.0000, 0.0000, 0.0000)  6 F 1.83-1.88
Ag (0.0000, 0.0000, 0.5000)  2 F 2.06
F (0.1955, 0.8006, 0.2016)  1 Cr 1.88, 1 Li 2.05
F (0.7204, 0.7246, 0.0001)  1 Cr 1.83
F (0.8045, 0.1994, 0.2016)  1 Cr 1.88, 1 Li 2.05
F (0.8045, 0.1994, 0.7984)  1 Cr 1.88, 1 Li 2.05
F (0.2796, 0.2754, 0.9999)  1 Cr 1.83
F (0.1955, 0.8006, 0.7984)  1 Cr 1.88, 1 Li 2.05
F (0.6864, 0.6886, 0.5000)  2 Li 2.03, 1 Ag 2.06
F (0.3136, 0.3114, 0.5000)  2 Li 2.03, 1 Ag 2.06

3.
First-principles (PBE+U) data for a relaxed LiCrAg2F6 crystal, as listed in Alexandria.

Results
SG   P2_1/c (14)

Cell lengths 5.6140, 5.6142, 7.9894 Å; angles 90.00, 89.98, 90.00 degrees
With the nearest neighbours (Å) after each atom.
Atoms (fractional coordinates):
Li (0.5000, 0.0000, 0.0000)  6 F 2.08-2.10
Li (0.0000, 0.5000, 0.5000)  6 F 2.08-2.10
Cr (0.5000, 0.0000, 0.5000)  6 F 1.95-1.96
Cr (0.0000, 0.5000, 0.0000)  6 F 1.95-1.96
Ag (0.0015, 0.9783, 0.2503)  6 F 2.47-2.69
Ag (0.5015, 0.5217, 0.7503)  6 F 2.47-2.69
Ag (0.9985, 0.0217, 0.7497)  6 F 2.47-2.69
Ag (0.4985, 0.4783, 0.2497)  6 F 2.47-2.69
F (0.2863, 0.6954, 0.0249)  1 Cr 1.96, 1 Li 2.10
F (0.7863, 0.8046, 0.5249)  1 Cr 1.96, 1 Li 2.10
F (0.7137, 0.3046, 0.9751)  1 Cr 1.96, 1 Li 2.10
F (0.2137, 0.1954, 0.4751)  1 Cr 1.96, 1 Li 2.10
F (0.3058, 0.7129, 0.4740)  1 Cr 1.96, 1 Li 2.10
F (0.8058, 0.7871, 0.9740)  1 Cr 1.96, 1 Li 2.10
F (0.6942, 0.2871, 0.5260)  1 Cr 1.96, 1 Li 2.10
F (0.1942, 0.2129, 0.0260)  1 Cr 1.96, 1 Li 2.10
F (0.9491, 0.5115, 0.2418)  1 Cr 1.95, 1 Li 2.08
F (0.4491, 0.9885, 0.7418)  1 Cr 1.95, 1 Li 2.08
F (0.0509, 0.4885, 0.7582)  1 Cr 1.95, 1 Li 2.08
F (0.5509, 0.0115, 0.2582)  1 Cr 1.95, 1 Li 2.08

4.
First-principles (PBE+U) data for a relaxed LiCrAg2F crystal, as listed in Alexandria.

Results
SG   P4/mmm (123)

Cell lengths 5.1435, 3.3436, 5.1435 Å; angles 90.00, 90.00, 90.00 degrees
With the nearest neighbours (Å) after each atom.
Atoms (fractional coordinates):
Cr (0.5000, 0.5000, 0.5000)  8 Ag 3.07, 2 Cr 3.34
Li (0.0000, 0.0000, 0.0000)  2 F 1.67
Ag (0.0000, 0.0000, 0.5000)  2 Li 2.57
Ag (0.5000, 0.0000, 0.0000)  2 Li 2.57
F (0.0000, 0.5000, 0.0000)  2 Li 1.67

5.
First-principles (PBE+U) data for a relaxed LiCrAgF5 crystal, as listed in Alexandria.

Results
SG   C2/c (15)

Cell lengths 5.7905, 5.7905, 7.4432 Å; angles 103.12, 103.12, 108.77 degrees
With the nearest neighbours (Å) after each atom.
Atoms (fractional coordinates):
Li (0.6886, 0.3114, 0.2500)  4 F 1.89-1.90
Li (0.3114, 0.6886, 0.7500)  4 F 1.89-1.90
Cr (0.0000, 0.0000, 0.5000)  6 F 1.93-1.97
Cr (0.0000, 0.0000, 0.0000)  6 F 1.93-1.97
Ag (0.3418, 0.6582, 0.2500)  5 F 2.47-2.56
Ag (0.6582, 0.3418, 0.7500)  5 F 2.47-2.56
F (0.0696, 0.9304, 0.2500)  2 Cr 1.97
F (0.9304, 0.0696, 0.7500)  2 Cr 1.97
F (0.9183, 0.2920, 0.1065)  1 Li 1.90, 1 Cr 1.95
F (0.0817, 0.7080, 0.8935)  1 Li 1.90, 1 Cr 1.95
F (0.7080, 0.0817, 0.3935)  1 Li 1.90, 1 Cr 1.95
F (0.2920, 0.9183, 0.6065)  1 Li 1.90, 1 Cr 1.95
F (0.7669, 0.6428, 0.4220)  1 Li 1.89, 1 Cr 1.93
F (0.2331, 0.3572, 0.5780)  1 Li 1.89, 1 Cr 1.93
F (0.3572, 0.2331, 0.0780)  1 Li 1.89, 1 Cr 1.93
F (0.6428, 0.7669, 0.9220)  1 Li 1.89, 1 Cr 1.93

6.
First-principles (PBE+U) data for a relaxed MnCr2AgF crystal, as listed in Alexandria.

Results
SG   P4/mmm (123)

Cell lengths 5.3379, 5.3379, 4.2548 Å; angles 90.00, 90.00, 90.00 degrees
With the nearest neighbours (Å) after each atom.
Atoms (fractional coordinates):
Cr (0.0000, 0.5000, 0.0000)  2 Ag 2.67
Cr (0.5000, 0.0000, 0.0000)  2 Ag 2.67
Mn (0.5000, 0.5000, 0.5000)  8 Cr 3.41, 4 F 3.77
Ag (0.0000, 0.0000, 0.0000)  2 F 2.13
F (0.0000, 0.0000, 0.5000)  2 Ag 2.13

7.
First-principles (PBE+U) data for a relaxed CrAg2NF crystal, as listed in Alexandria.

Results
SG   P4/mmm (123)

Cell lengths 4.0536, 5.4881, 4.0536 Å; angles 90.00, 90.00, 90.00 degrees
With the nearest neighbours (Å) after each atom.
Atoms (fractional coordinates):
Cr (0.5000, 0.5000, 0.5000)  4 F 2.87
N (0.0000, 0.0000, 0.0000)  4 Ag 2.03
Ag (0.0000, 0.0000, 0.5000)  2 N 2.03
Ag (0.5000, 0.0000, 0.0000)  2 N 2.03
F (0.0000, 0.5000, 0.0000)  2 N 2.74, 4 Cr 2.87

8.
First-principles (PBE+U) data for a relaxed Na2CrAgF6 crystal, as listed in Alexandria.

Results
Relative energy among the computed polymorphs   0.0000 eV per atom
SG   P2_1/c (14)

Cell lengths 5.6307, 5.9486, 8.3277 Å; angles 90.00, 89.16, 90.00 degrees
With the nearest neighbours (Å) after each atom.
Atoms (fractional coordinates):
Na (0.0080, 0.9604, 0.2732)  6 F 2.31-2.55
Na (0.5080, 0.5396, 0.7732)  6 F 2.31-2.55
Na (0.9920, 0.0396, 0.7268)  6 F 2.31-2.55
Na (0.4920, 0.4604, 0.2268)  6 F 2.31-2.55
Cr (0.5000, 0.0000, 0.5000)  6 F 1.95-1.96
Cr (0.0000, 0.5000, 0.0000)  6 F 1.95-1.96
Ag (0.5000, 0.0000, 0.0000)  4 F 2.32-2.58
Ag (0.0000, 0.5000, 0.5000)  4 F 2.32-2.58
F (0.2960, 0.6631, 0.0318)  1 Cr 1.95
F (0.7960, 0.8369, 0.5318)  1 Cr 1.95
F (0.7040, 0.3369, 0.9682)  1 Cr 1.95
F (0.2040, 0.1631, 0.4682)  1 Cr 1.95
F (0.3492, 0.7418, 0.3963)  1 Cr 1.96
F (0.8492, 0.7582, 0.8963)  1 Cr 1.96
F (0.6508, 0.2582, 0.6037)  1 Cr 1.96
F (0.1509, 0.2418, 0.1037)  1 Cr 1.96
F (0.8766, 0.6051, 0.2073)  1 Cr 1.95
F (0.3766, 0.8949, 0.7073)  1 Cr 1.95
F (0.1234, 0.3949, 0.7927)  1 Cr 1.95
F (0.6234, 0.1051, 0.2927)  1 Cr 1.95

9.
First-principles (PBE+U) data for a relaxed NaCrAgF6 crystal, as listed in Alexandria.

Results
SG   P-31c (163)

Cell lengths 5.5602, 5.5602, 9.2034 Å; angles 90.00, 90.00, 120.00 degrees
With the nearest neighbours (Å) after each atom.
Atoms (fractional coordinates):
Na (0.3333, 0.6667, 0.2500)  6 F 2.27
Na (0.6667, 0.3333, 0.7500)  6 F 2.27
Cr (0.6667, 0.3333, 0.2500)  6 F 1.92
Cr (0.3333, 0.6667, 0.7500)  6 F 1.92
Ag (0.0000, 0.0000, 0.0000)  6 F 2.34
Ag (0.0000, 0.0000, 0.5000)  6 F 2.34
F (0.6678, 0.6204, 0.1328)  1 Cr 1.92
F (0.9525, 0.3322, 0.1328)  1 Cr 1.92
F (0.3322, 0.9525, 0.6328)  1 Cr 1.92
F (0.0475, 0.6678, 0.8672)  1 Cr 1.92
F (0.3796, 0.3322, 0.3672)  1 Cr 1.92
F (0.9525, 0.6204, 0.3672)  1 Cr 1.92
F (0.6204, 0.9525, 0.8672)  1 Cr 1.92
F (0.6678, 0.0475, 0.3672)  1 Cr 1.92
F (0.0475, 0.3796, 0.6328)  1 Cr 1.92
F (0.3796, 0.0475, 0.1328)  1 Cr 1.92
F (0.6204, 0.6678, 0.6328)  1 Cr 1.92
F (0.3322, 0.3796, 0.8672)  1 Cr 1.92

| no. | VASP energy (eV per formula unit) | M_tot (Bohr magnetons per cell) |
| --- | --- | --- |
| 1 | -51.1 | 3.15 |
| 2 | -56.1 | 2.87 |
| 3 | -47.4 | 5.78 |
| 4 | -19.1 | 4.75 |
| 5 | -40.7 | 5.86 |
| 6 | -24.2 | 14.96 |
| 7 | -21.4 | 4.05 |
| 8 | -48.6 | 5.88 |
| 9 | -42.7 | 3.99 |